1.
Crystalline Ni2RuAu at its relaxed geometry, computed with PBE-GGA.

abc: 2.7197 2.7197 7.2995
angles: 90.00 90.00 90.00
Last column: nearest neighbours and their distance in Å.
Fractional coordinates of all 4 atoms:
Ni: 0.0000 0.0000 0.0000  8 Ni 2.48-2.72, 4 Au 2.73
Ni: 0.5000 0.5000 0.2143  8 Ni 2.48-2.72, 4 Ru 2.52
Ru: 0.0000 0.0000 0.4367  4 Ni 2.52, 4 Ru 2.72
Au: 0.5000 0.5000 0.7345  4 Au 2.72, 4 Ni 2.73, 4 Ru 2.90

Output
- Formation energy: 0.224 eV per atom
- E above lowest polymorph: 87.8 meV per atom
- Symmetry: P4mm, No. 99
- D(E_F): 5.2 states/eV per cell
- Electronic total energy: -23.2 eV/cell

2.
Crystalline NiRu2Au at its relaxed geometry, computed with PBE-GGA.

abc: 2.7654 3.7299 5.5425
angles: 90.00 90.00 90.00
Last column: nearest neighbours and their distance in Å.
Fractional coordinates of all 4 atoms:
Ni: 0.0000 0.0000 0.0000  5 Ru 2.53-2.69, 4 Au 2.70, 2 Ni 2.77
Ru: 0.0000 0.0000 0.4570  1 Ni 2.53, 6 Ru 2.61-2.77, 4 Au 2.83
Ru: 0.5000 0.5000 0.2438  6 Ru 2.61-2.77, 4 Ni 2.69, 2 Au 2.74-2.81
Au: 0.5000 0.5000 0.7501  4 Ni 2.70, 6 Ru 2.74-2.83, 2 Au 2.77

Output
- Formation energy: 0.199 eV per atom
- E above lowest polymorph: 25.6 meV per atom
- Symmetry: Pmm2, No. 25
- D(E_F): 4.3 states/eV per cell
- Electronic total energy: -26.8 eV/cell

3.
Crystalline NiRu2Au at its relaxed geometry, computed with PBE-GGA.

abc: 9.0745 9.0745 9.0745
angles: 17.27 17.27 17.27
Last column: nearest neighbours and their distance in Å.
Fractional coordinates of all 4 atoms:
Ni: 0.0000 0.0000 0.0000  6 Ru 2.56, 6 Ni 2.73
Ru: 0.2580 0.2580 0.2580  3 Ni 2.56, 6 Ru 2.73
Ru: 0.7420 0.7420 0.7420  3 Ni 2.56, 6 Ru 2.73
Au: 0.5000 0.5000 0.5000  6 Au 2.73, 6 Ru 2.91

Output
- Formation energy: 0.347 eV per atom
- E above lowest polymorph: 173.7 meV per atom
- Symmetry: R-3m, No. 166
- D(E_F): 5.8 states/eV per cell
- Electronic total energy: -26.2 eV/cell